Entry 1:
An optimized crystal structure of KMnCuH6, computed with PBE-GGA.

Unit cell a=4.689 b=4.689 c=5.282 alpha=90.00 beta=90.00 gamma=60.00
Site moments in Bohr magnetons follow the coordinates.
Atoms (fractional coordinates):
H  0.494  0.012  0.698  -0.02
H  0.012  0.494  0.302  -0.02
H  0.494  0.494  0.302  -0.02
H  0.494  0.012  0.302  -0.02
H  0.012  0.494  0.698  -0.02
H  0.494  0.494  0.698  -0.02
Cu  0.667  0.667  0.500  0.02
Mn  0.333  0.333  0.500  2.84
K  0.000  0.000  0.000  0.00

Total DFT energy (no corrections)   -3.8614 eV/atom
Calculated volume   11.17 Å³ per atom
M_tot   3.012 μB per formula unit


Entry 2:
An optimized crystal structure of K2NaCuH4, computed with PBE-GGA.

Unit cell a=6.026 b=5.557 c=5.557 alpha=72.90 beta=57.17 gamma=57.17
Atoms (fractional coordinates):
K  0.500  0.500  0.500
K  0.000  0.500  0.500
Cu  0.500  0.000  0.000
H  0.472  0.713  0.000
H  0.528  0.000  0.287
H  0.815  0.000  0.713
H  0.185  0.287  0.000
Na  0.000  0.000  0.000

Total DFT energy (no corrections)   -2.6983 eV/atom
Calculated volume   16.42 Å³ per atom
M_tot   0.000 μB per formula unit


Entry 3:
An optimized crystal structure of KCuNiH2, computed with PBE-GGA.

Unit cell a=3.728 b=5.767 c=3.728 alpha=90.00 beta=90.00 gamma=90.00
Atoms (fractional coordinates):
H  0.500  0.000  0.000
H  0.000  0.000  0.500
Ni  0.000  0.000  0.000
K  0.000  0.500  0.000
Cu  0.500  0.500  0.500

Total DFT energy (no corrections)   -2.5638 eV/atom
Calculated volume   16.03 Å³ per atom
M_tot   0.000 μB per formula unit


Entry 4:
An optimized crystal structure of K2NpCu3H12, computed with PBE-GGA.

Unit cell a=6.104 b=6.104 c=6.104 alpha=69.65 beta=69.65 gamma=69.65
Site moments in Bohr magnetons follow the coordinates.
Atoms (fractional coordinates):
K  0.614  0.614  0.614  0.00
K  0.386  0.386  0.386  0.00
H  0.249  0.249  0.923  0.00
H  0.751  0.751  0.077  0.00
H  0.121  0.121  0.608  0.00
H  0.923  0.249  0.249  0.00
H  0.608  0.121  0.121  0.00
H  0.077  0.751  0.751  0.00
H  0.121  0.608  0.121  0.00
H  0.751  0.077  0.751  0.00
H  0.879  0.392  0.879  0.00
H  0.879  0.879  0.392  0.00
H  0.392  0.879  0.879  0.00
H  0.249  0.923  0.249  0.00
Cu  0.500  0.000  0.000  0.13
Cu  0.000  0.500  0.000  0.13
Cu  0.000  0.000  0.500  0.13
Np  0.000  0.000  0.000  3.37

Total DFT energy (no corrections)   -3.7664 eV/atom
Calculated volume   10.73 Å³ per atom
M_tot   4.002 μB per formula unit


Entry 5:
An optimized crystal structure of KCuHO2, computed with PBE-GGA.

Unit cell a=4.949 b=4.334 c=6.051 alpha=90.01 beta=90.00 gamma=90.00
Site moments in Bohr magnetons follow the coordinates.
Atoms (fractional coordinates):
Cu  0.500  0.000  0.750  0.11
Cu  0.500  0.000  0.250  0.11
K  0.000  0.500  0.250  0.00
K  0.000  0.500  0.750  0.00
H  0.000  0.000  0.000  0.00
H  0.000  0.000  0.500  0.00
O  0.754  0.000  0.500  0.03
O  0.246  0.000  0.000  0.03
O  0.246  0.000  0.500  0.03
O  0.754  0.000  0.000  0.03

Total DFT energy (no corrections)   -4.6411 eV/atom
Calculated volume   12.98 Å³ per atom
M_tot   0.172 μB per formula unit


Entry 6:
An optimized crystal structure of KRbCuH12Se2O14, computed with PBE-GGA.

Unit cell a=6.526 b=9.270 c=12.548 alpha=90.00 beta=90.00 gamma=102.59
Site moments in Bohr magnetons follow the coordinates.
Atoms (fractional coordinates):
O  0.631  0.033  0.932  0.00
O  0.269  0.730  0.059  0.07
O  0.635  0.535  0.558  0.00
O  0.017  0.352  0.184  0.00
O  0.799  0.570  0.127  0.00
O  0.201  0.430  0.627  0.00
O  0.983  0.648  0.684  0.00
O  0.369  0.967  0.432  0.00
O  0.756  0.333  0.930  0.00
O  0.809  0.061  0.379  0.00
O  0.015  0.835  0.318  0.00
O  0.411  0.337  0.250  0.00
O  0.731  0.769  0.938  0.07
O  0.269  0.231  0.438  0.07
O  0.591  0.185  0.751  0.00
O  0.244  0.667  0.430  0.00
O  0.589  0.663  0.750  0.00
O  0.975  0.412  0.392  0.07
O  0.766  0.832  0.581  0.00
O  0.028  0.093  0.610  0.07
O  0.025  0.588  0.892  0.07
O  0.731  0.270  0.559  0.07
O  0.985  0.165  0.818  0.00
O  0.409  0.815  0.251  0.00
O  0.234  0.168  0.081  0.00
O  0.365  0.465  0.058  0.00
O  0.972  0.907  0.110  0.07
O  0.191  0.939  0.879  0.00
H  0.705  0.872  0.939  0.00
H  0.994  0.874  0.185  0.00
H  0.075  0.004  0.100  0.00
H  0.006  0.126  0.685  0.00
H  0.873  0.487  0.134  0.00
H  0.296  0.628  0.055  0.00
H  0.696  0.237  0.635  0.00
H  0.662  0.527  0.094  0.00
H  0.878  0.977  0.370  0.00
H  0.122  0.023  0.870  0.00
H  0.925  0.996  0.600  0.00
H  0.306  0.270  0.364  0.00
H  0.704  0.372  0.555  0.00
H  0.333  0.979  0.907  0.00
H  0.127  0.513  0.634  0.00
H  0.998  0.384  0.317  0.00
H  0.002  0.616  0.817  0.00
H  0.080  0.508  0.406  0.00
H  0.920  0.492  0.906  0.00
H  0.304  0.763  0.135  0.00
H  0.667  0.021  0.407  0.00
H  0.694  0.730  0.864  0.00
H  0.338  0.473  0.594  0.00
H  0.295  0.128  0.439  0.00
Rb  0.352  0.898  0.660  0.00
Rb  0.648  0.102  0.160  0.00
Se  0.254  0.330  0.143  0.00
Se  0.746  0.670  0.643  0.00
Se  0.256  0.820  0.358  0.00
Se  0.744  0.180  0.858  0.00
Cu  0.000  0.250  0.499  0.68
Cu  0.000  0.750  0.999  0.68
K  0.350  0.399  0.839  0.00
K  0.650  0.601  0.339  0.00

Total DFT energy (no corrections)   -5.0137 eV/atom
Calculated volume   11.95 Å³ per atom
M_tot   1.001 μB per formula unit